Entry 1:
Crystalline Cs2Np2RuS6 at its relaxed geometry, computed with PBE-GGA.

```
Cs2Np2RuS6
1.0
6.507 0.027 0.038
-3.193 5.670 0.038
-1.202 -2.067 8.335
Cs Np Ru S
2 2 1 6
Direct
0.830 0.170 0.000 Cs
0.170 0.830 0.000 Cs
0.332 0.668 0.500 Np
0.668 0.332 0.500 Np
0.000 0.000 0.500 Ru
0.752 0.752 0.673 S
0.065 0.372 0.676 S
0.248 0.248 0.327 S
0.372 0.065 0.676 S
0.935 0.628 0.324 S
0.628 0.935 0.324 S
```

Output
Mass density, Mg/m³: 5.548
Total DFT energy (no corrections), eV/atom: -6.699
Formation energy (no corrections), eV/atom: -1.096
Total magnetization, μB/f.u.: 6.00

=====

Entry 2:
Crystalline Cs3Np3RuSe8 at its relaxed geometry, computed with PBE-GGA.

```
Cs3Np3RuSe8
1.0
8.109 0.000 0.000
-4.054 7.020 -0.026
0.000 -4.647 8.676
Cs Np Ru Se
3 3 1 8
Direct
0.000 0.000 0.000 Cs
0.000 0.500 0.000 Cs
0.500 0.500 0.000 Cs
0.500 0.000 0.500 Np
0.500 0.500 0.500 Np
0.000 0.500 0.500 Np
0.000 0.000 0.500 Ru
0.270 0.540 0.309 Se
0.730 0.460 0.691 Se
0.787 0.574 0.325 Se
0.213 0.426 0.675 Se
0.787 0.038 0.325 Se
0.213 0.962 0.675 Se
0.251 0.038 0.325 Se
0.749 0.962 0.675 Se
```

Output
Mass density, Mg/m³: 6.207
Total DFT energy (no corrections), eV/atom: -6.250
Formation energy (no corrections), eV/atom: -1.014
Total magnetization, μB/f.u.: 10.00

=====

Entry 3:
Crystalline CsNpS4 at its relaxed geometry, computed with PBE-GGA.

```
CsNpS4
1.0
7.248 0.000 0.562
0.000 7.598 0.000
-1.512 -3.799 7.216
Cs Np S
2 2 8
Direct
0.809 0.802 0.603 Cs
0.191 0.198 0.397 Cs
0.267 0.539 0.078 Np
0.733 0.461 0.922 Np
0.262 0.705 0.409 S
0.461 0.191 0.860 S
0.000 0.276 0.000 S
0.539 0.331 0.140 S
0.738 0.295 0.591 S
0.539 0.809 0.140 S
0.000 0.724 0.000 S
0.461 0.669 0.860 S
```

Output
Mass density, Mg/m³: 4.096
Total DFT energy (no corrections), eV/atom: -6.014
Formation energy (no corrections), eV/atom: -0.963
Total magnetization, μB/f.u.: 2.00

=====

Entry 4:
Crystalline Cs3Np2S7 at its relaxed geometry, computed with PBE-GGA.

```
Cs3Np2S7
1.0
-3.915 2.323 -2.561
-2.314 -4.635 -0.668
-7.559 4.468 15.609
Cs Np S
3 2 7
Direct
0.500 0.500 0.000 Cs
0.500 0.646 0.292 Cs
0.500 0.354 0.708 Cs
0.000 0.926 0.852 Np
0.000 0.074 0.148 Np
0.000 0.426 0.853 S
0.000 0.857 0.713 S
0.000 0.000 0.000 S
0.000 0.574 0.147 S
0.500 0.074 0.147 S
0.500 0.926 0.853 S
0.000 0.143 0.287 S
```

Output
Mass density, Mg/m³: 3.769
Total DFT energy (no corrections), eV/atom: -5.954
Formation energy (no corrections), eV/atom: -1.176
Total magnetization, μB/f.u.: 3.00

=====

Entry 5:
Crystalline Cs4NpS4 at its relaxed geometry, computed with PBE-GGA.

```
Cs4NpS4
1.0
7.276 0.000 0.000
-3.638 7.109 3.638
0.000 0.000 7.276
Cs Np S
4 1 4
Direct
0.160 0.711 0.449 Cs
0.551 0.711 0.840 Cs
0.449 0.289 0.551 Cs
0.840 0.289 0.160 Cs
0.000 0.000 0.000 Np
0.307 0.213 0.094 S
0.906 0.213 0.693 S
0.094 0.787 0.906 S
0.693 0.787 0.307 S
```

Output
Mass density, Mg/m³: 3.957
Total DFT energy (no corrections), eV/atom: -4.800
Formation energy (no corrections), eV/atom: -1.148
Total magnetization, μB/f.u.: 3.00

=====

Entry 6:
Crystalline Cs4NpS5 at its relaxed geometry, computed with PBE-GGA.

```
Cs4NpS5
1.0
-6.711 -1.166 -1.396
-3.974 -4.595 5.627
-5.221 5.647 3.071
Cs Np S
4 1 5
Direct
0.411 0.397 0.801 Cs
0.808 0.801 0.603 Cs
0.212 0.199 0.397 Cs
0.609 0.603 0.199 Cs
0.038 0.000 0.000 Np
0.935 0.298 0.849 S
0.233 0.849 0.702 S
0.784 0.151 0.298 S
0.082 0.702 0.151 S
0.396 0.000 0.000 S
```

Output
Mass density, Mg/m³: 3.927
Total DFT energy (no corrections), eV/atom: -4.845
Formation energy (no corrections), eV/atom: -1.146
Total magnetization, μB/f.u.: 1.00

=====

Entry 7:
Crystalline CsNp4S8 at its relaxed geometry, computed with PBE-GGA.

```
CsNp4S8
1.0
-0.447 -8.024 -2.330
5.840 -3.220 -5.053
5.521 -5.536 2.981
Cs Np S
1 4 8
Direct
0.750 0.750 0.750 Cs
0.881 0.373 0.373 Np
0.373 0.881 0.373 Np
0.373 0.373 0.881 Np
0.373 0.373 0.373 Np
0.569 0.144 0.144 S
0.144 0.569 0.144 S
0.144 0.144 0.569 S
0.144 0.144 0.144 S
0.201 0.600 0.600 S
0.600 0.201 0.600 S
0.600 0.600 0.201 S
0.600 0.600 0.600 S
```

Output
Energy above the most stable polymorph in this dataset, eV per atom: 0.0662
Mass density, Mg/m³: 5.361
Total DFT energy (no corrections), eV/atom: -7.837
Formation energy (no corrections), eV/atom: -1.249
Total magnetization, μB/f.u.: 13.00

=====

Entry 8:
Crystalline Cs2Np3S6 at its relaxed geometry, computed with PBE-GGA.

```
Cs2Np3S6
1.0
6.737 0.000 2.006
3.369 6.087 1.003
-0.104 0.000 8.554
Cs Np S
2 3 6
Direct
0.167 0.667 0.500 Cs
0.833 0.333 0.500 Cs
0.000 0.000 0.000 Np
0.334 0.332 0.000 Np
0.666 0.668 0.000 Np
0.391 0.665 0.826 S
0.726 0.000 0.826 S
0.057 0.335 0.826 S
0.274 0.000 0.174 S
0.609 0.335 0.174 S
0.943 0.665 0.174 S
```

Output
Mass density, Mg/m³: 5.514
Total DFT energy (no corrections), eV/atom: -7.346
Formation energy (no corrections), eV/atom: -1.410
Total magnetization, μB/f.u.: 11.00